## Y2MgCd16 (PBE)

Data for crystalline Y2MgCd16 at its relaxed geometry.

The structure in extended XYZ format:
```
19
Lattice="5.009 2.892 5.020 -5.009 2.892 5.020 0.000 -5.784 5.020" Properties=species:S:1:pos:R:3 pbc="T T T"
Y 0.000 0.000 0.000
Y 0.000 0.000 5.222
Mg 0.000 0.000 8.672
Cd 0.000 -2.308 2.762
Cd -1.999 1.154 2.762
Cd -2.716 -1.568 7.673
Cd 0.000 -2.652 7.252
Cd -2.296 1.326 7.252
Cd -1.516 -2.645 10.093
Cd -3.049 0.009 10.093
Cd 1.999 1.154 2.762
Cd 1.516 -2.645 10.093
Cd -1.532 2.636 10.093
Cd 2.716 -1.568 7.673
Cd 0.000 3.136 7.673
Cd 0.000 0.000 11.575
Cd 2.296 1.326 7.252
Cd 3.049 0.009 10.093
Cd 1.532 2.636 10.093
```

Values from the calculation:
Total DFT energy (no corrections) = -31.4 eV for the cell shown
Energy of formation from the pure elements = -0.12 eV per atom